# TlCd2Br2

Crystalline TlCd2Br2 at its relaxed geometry (GGA-PBE, Alexandria).

Results
excess energy over the best structure of this formula in the dataset	0.0352	eV/atom
total magnetic moment	0.000	μB per atom
symmetry	I4/mmm
DOS at the Fermi energy	0.34	states/eV per atom
uncorrected formation energy	-37.0	kJ/mol of atoms

Lattice parameters (Å, degrees): 5.9535 5.9535 9.1358 90.00 90.00 90.00
Last column: nearest neighbours and their distance in Å.
Sites, in units of the cell vectors:
Tl (0.0000, 0.0000, 0.0000)  2 Cd 3.19
Tl (0.5000, 0.5000, 0.5000)  2 Cd 3.19
Cd (0.0000, 0.0000, 0.3497)  1 Cd 2.75
Cd (0.0000, 0.0000, 0.6503)  1 Cd 2.75
Cd (0.5000, 0.5000, 0.1503)  1 Cd 2.75
Cd (0.5000, 0.5000, 0.8497)  1 Cd 2.75
Br (0.0000, 0.5000, 0.2500)  4 Cd 3.11
Br (0.0000, 0.5000, 0.7500)  4 Cd 3.11
Br (0.5000, 0.0000, 0.2500)  4 Cd 3.11
Br (0.5000, 0.0000, 0.7500)  4 Cd 3.11